(1)
Computed, not measured: Mg6HIr3 after structural relaxation at the PBE-GGA level of DFT.

Values from the calculation:
* ΔE to the lowest computed polymorph: 0.018 eV/atom

a b c (Å): 4.9011 4.9460 7.4075
angles (deg): 89.22 78.09 61.02
Last column: nearest neighbours and their distance in Å.
Positions (direct):
Mg: 0.0000 0.0000 0.0000  2 H 2.71-2.83, 5 Mg 2.74-3.02, 5 Ir 2.80-2.93
Mg: 0.0943 0.3616 0.6669  5 Mg 2.68-2.99, 5 Ir 2.74-2.99
Mg: 0.2332 0.6627 0.3300  1 H 2.40
Mg: 0.3671 0.3001 0.9845  1 H 2.14
Mg: 0.4678 0.6721 0.6714  6 Mg 2.68-3.00, 5 Ir 2.78-2.92
Mg: 0.5633 0.9868 0.3370  1 H 2.16
H: 0.9104 0.5525 0.1730  2 Ir 1.77-1.80
Ir: 0.6777 0.6623 0.9993  1 H 1.80
Ir: 0.7951 0.0084 0.6547  10 Mg 2.74-2.99, 1 Ir 2.79
Ir: 0.8866 0.3111 0.3470  1 H 1.77

(2)
Computed, not measured: GeSb2Au8 after structural relaxation at the PBE-GGA level of DFT.

Values from the calculation:
* formation energy without anion corrections: 35 meV per atom

a b c (Å): 10.0460 10.0460 5.8626
angles (deg): 97.80 97.80 22.86
Last column: nearest neighbours and their distance in Å.
Positions (direct):
Ge: 0.0000 0.0000 0.0000  8 Au 2.67-2.80
Sb: 0.3241 0.3241 0.6558  5 Au 2.78-2.91
Sb: 0.6759 0.6759 0.3442  5 Au 2.78-2.91
Au: 0.0770 0.0770 0.4194  1 Ge 2.70, 2 Sb 2.86, 3 Au 2.91-2.94
Au: 0.1358 0.1358 0.9087  1 Ge 2.80, 6 Au 2.87-2.94
Au: 0.2680 0.2680 0.1945  3 Sb 2.78-2.91, 5 Au 2.87-3.04
Au: 0.4638 0.4638 0.2631  2 Ge 2.67, 5 Au 2.88-2.94
Au: 0.5362 0.5362 0.7369  2 Ge 2.67, 5 Au 2.88-2.94
Au: 0.7320 0.7320 0.8055  3 Sb 2.78-2.91, 5 Au 2.87-3.04
Au: 0.8642 0.8642 0.0913  1 Ge 2.80, 6 Au 2.87-2.94
Au: 0.9230 0.9230 0.5806  1 Ge 2.70, 2 Sb 2.86, 3 Au 2.91-2.94

(3)
Computed, not measured: Ru2PtF after structural relaxation at the PBE-GGA level of DFT.

Values from the calculation:
* ΔE to the lowest computed polymorph: 0.000 eV/atom
* formation energy without anion corrections: 291 meV per atom

a b c (Å): 4.2713 4.2713 4.2713
angles (deg): 60.00 60.00 60.00
Last column: nearest neighbours and their distance in Å.
Positions (direct):
Ru: 0.2500 0.2500 0.2500  4 F 2.62, 4 Pt 2.62
Ru: 0.7500 0.7500 0.7500  4 F 2.62, 4 Pt 2.62
Pt: 0.0000 0.0000 0.0000  8 Ru 2.62
F: 0.5000 0.5000 0.5000  8 Ru 2.62

(4)
Computed, not measured: RbY after structural relaxation at the PBE-GGA level of DFT.

Values from the calculation:
* ΔE_f: 0.6540 eV/atom

a b c (Å): 13.4876 13.4876 3.5875
angles (deg): 90.00 90.00 120.00
Last column: nearest neighbours and their distance in Å.
Positions (direct):
Rb: 0.0612 0.7692 0.2500  2 Rb 3.59, 1 Y 3.68
Rb: 0.2308 0.2920 0.2500  2 Rb 3.59, 1 Y 3.68
Rb: 0.2920 0.0612 0.7500  2 Rb 3.59, 1 Y 3.68
Rb: 0.7080 0.9388 0.2500  2 Rb 3.59, 1 Y 3.68
Rb: 0.7692 0.7080 0.7500  2 Rb 3.59, 1 Y 3.68
Rb: 0.9388 0.2308 0.7500  2 Rb 3.59, 1 Y 3.68
Y: 0.1538 0.5551 0.2500  4 Y 3.59-3.67, 1 Rb 3.68
Y: 0.4012 0.8462 0.2500  4 Y 3.59-3.67, 1 Rb 3.68
Y: 0.4449 0.5988 0.2500  4 Y 3.59-3.67, 1 Rb 3.68
Y: 0.5551 0.4012 0.7500  4 Y 3.59-3.67, 1 Rb 3.68
Y: 0.5988 0.1538 0.7500  4 Y 3.59-3.67, 1 Rb 3.68
Y: 0.8462 0.4449 0.7500  4 Y 3.59-3.67, 1 Rb 3.68

(5)
Computed, not measured: Th2ZnPd after structural relaxation at the PBE-GGA level of DFT.

Values from the calculation:
* ΔE to the lowest computed polymorph: 0.535 eV/atom
* ΔE_f: 0.0791 eV/atom

a b c (Å): 10.6085 10.6085 10.6085
angles (deg): 18.23 18.23 18.23
Last column: nearest neighbours and their distance in Å.
Positions (direct):
Th: 0.0870 0.0870 0.0870  1 Pd 2.72
Th: 0.9130 0.9130 0.9130  1 Pd 2.72
Zn: 0.5000 0.5000 0.5000  6 Th 3.16, 6 Zn 3.36
Pd: 0.0000 0.0000 0.0000  2 Th 2.72

(6)
Computed, not measured: YAs2RhAu after structural relaxation at the PBE-GGA level of DFT.

Values from the calculation:
* ΔE_f: -0.0733 eV/atom

a b c (Å): 4.6900 4.6900 5.4196
angles (deg): 90.00 90.00 90.00
Last column: nearest neighbours and their distance in Å.
Positions (direct):
Y: 0.0000 0.0000 0.0000  2 Rh 2.71
As: 0.0000 0.5000 0.5000  2 Rh 2.34
As: 0.5000 0.0000 0.5000  2 Rh 2.34
Rh: 0.0000 0.0000 0.5000  4 As 2.34
Au: 0.5000 0.5000 0.0000  4 Y 3.32, 8 As 3.58

V in Å³/f.u., matching the order above: 153; 228; 55; 94; 102; 119